A) # DyEr3Cu2

Crystalline DyEr3Cu2 at its relaxed geometry (PBE, the Alexandria database).

Calculated values
crystal system = orthorhombic
ρ = 8.2 g cm⁻³
density of states at the Fermi level = 1.1493 states/eV/atom

```
data_DyEr3Cu2
_symmetry_space_group_name_H-M 'I b a m'
_symmetry_Int_Tables_number 72
_symmetry_space_group_name_Hall '-I 2 2c'
_cell_length_a 6.7412
_cell_length_b 13.3284
_cell_length_c 7.1014
_cell_angle_alpha 90.00
_cell_angle_beta 90.00
_cell_angle_gamma 90.00
loop_
_atom_site_label
_atom_site_type_symbol
_atom_site_fract_x
_atom_site_fract_y
_atom_site_fract_z
Dy1 Dy 0.0000 0.0000 0.0000
Er1 Er 0.0000 0.2346 0.2500
Er2 Er 0.0000 0.5000 0.2500
Cu1 Cu 0.2079 0.3582 0.0000
```

B) # DyEr3Cu2

Crystalline DyEr3Cu2 at its relaxed geometry (PBE, the Alexandria database).

Calculated values
crystal system = orthorhombic
ρ = 9.1 g cm⁻³
density of states at the Fermi level = 1.0192 states/eV/atom

```
data_DyEr3Cu2
_symmetry_space_group_name_H-M 'P m c 21'
_symmetry_Int_Tables_number 26
_cell_length_a 4.8669
_cell_length_b 8.6351
_cell_length_c 6.8420
_cell_angle_alpha 90.00
_cell_angle_beta 90.00
_cell_angle_gamma 90.00
loop_
_symmetry_equiv_pos_as_xyz
'x,y,z'
'-x,-y,z+1/2'
'-x,y,z'
'x,-y,z+1/2'
loop_
_atom_site_label
_atom_site_type_symbol
_atom_site_fract_x
_atom_site_fract_y
_atom_site_fract_z
Dy1 Dy 0.0000 0.0757 0.0000
Er1 Er 0.0000 0.3344 0.6288
Er2 Er 0.5000 0.1669 0.3412
Er3 Er 0.5000 0.4253 0.9692
Cu1 Cu 0.0000 0.3502 0.2258
Cu2 Cu 0.5000 0.1517 0.7444
```

Computed stability ranking, most favorable first: B), A)